Entry from Alexandria: a relaxed structure of CaNd2Rh2 (GGA-PBE).

Summary:
Density (g cm⁻³): 7.17
VASP energy (eV/atom): -5.7976
Polymorph energy (0 for the lowest one) (meV per atom): 0
E_form (eV/f.u.): -2.75

Unit cell a=3.8318 b=8.0375 c=8.0375 alpha=90.00 beta=90.00 gamma=90.00
Fractional positions:
Ca1 0.0000 0.0000 0.0000
Ca2 0.0000 0.5000 0.5000
Rh1 0.0000 0.6411 0.1411
Rh2 0.0000 0.1411 0.3589
Rh3 0.0000 0.8589 0.6411
Rh4 0.0000 0.3589 0.8589
Nd1 0.5000 0.3460 0.1540
Nd2 0.5000 0.6540 0.8460
Nd3 0.5000 0.8460 0.3460
Nd4 0.5000 0.1540 0.6540